A relaxed structure of LaCoSb2, computed with GGA-PBE.

Calculated values
The value obtained for the energy relative to the elements, uncorrected is -524 meV per atom. The density comes out at 7.66 g/cm³. As for the uncorrected energy: -0.2055 hartree per atom.

abc: 6.6880 6.6880 6.6880
angles: 36.71 36.71 36.71
With the nearest neighbours (Å) after each atom.
Atoms (fractional coordinates):
La  0.0000  0.0000  0.0000  6 Sb 3.19
Co  0.5000  0.5000  0.5000  6 Sb 2.65
Sb  0.2231  0.2231  0.2231  3 Co 2.65
Sb  0.7769  0.7769  0.7769  3 Co 2.65